BaP2Pt: PBEsol geometry, SCAN.

a b c (Å): 5.0812 5.0812 3.1077
angles (deg): 90.00 90.00 90.00
Atoms (fractional coordinates):
Ba1 0.0000 0.0000 0.0000
P1 0.0000 0.5000 0.5000
P2 0.5000 0.0000 0.5000
Pt1 0.5000 0.5000 0.0000

- ΔH_f (0 K) (meV per atom) = 314
- SG = No. 123



RbBaP: PBEsol geometry, SCAN.

a b c (Å): 8.6894 5.3382 9.2576
angles (deg): 90.00 90.00 90.00
Atoms (fractional coordinates):
Rb1 0.0163 0.2500 0.1745
Rb2 0.4837 0.7500 0.6745
Rb3 0.5163 0.2500 0.3255
Rb4 0.9837 0.7500 0.8255
Ba1 0.1567 0.2500 0.5876
Ba2 0.3433 0.7500 0.0876
Ba3 0.6567 0.2500 0.9124
Ba4 0.8433 0.7500 0.4124
P1 0.2092 0.7500 0.4046
P2 0.2908 0.2500 0.9046
P3 0.7091 0.7500 0.0954
P4 0.7909 0.2500 0.5954

- ΔH_f (0 K) (meV per atom) = -841
- SG = No. 62



RbBa3P: PBEsol geometry, SCAN.

a b c (Å): 6.4224 6.4224 6.4224
angles (deg): 90.00 90.00 90.00
Atoms (fractional coordinates):
Rb1 0.0000 0.0000 0.0000
Ba1 0.0000 0.5000 0.5000
Ba2 0.5000 0.0000 0.5000
Ba3 0.5000 0.5000 0.0000
P1 0.5000 0.5000 0.5000

- ΔH_f (0 K) (meV per atom) = -487
- SG = No. 221



RbBaPS4: PBEsol geometry, SCAN.

a b c (Å): 11.5730 6.6647 9.9555
angles (deg): 90.00 90.00 90.00
Atoms (fractional coordinates):
Rb1 0.0955 0.2500 0.1578
Rb2 0.4045 0.7500 0.6578
Rb3 0.5955 0.2500 0.3422
Rb4 0.9045 0.7500 0.8422
Ba1 0.1479 0.2500 0.6070
Ba2 0.3521 0.7500 0.1070
Ba3 0.6479 0.2500 0.8930
Ba4 0.8521 0.7500 0.3930
P1 0.1811 0.7500 0.3912
P2 0.3189 0.2500 0.8912
P3 0.6811 0.7500 0.1088
P4 0.8189 0.2500 0.6088
S1 0.0791 0.7500 0.2230
S2 0.0874 0.7500 0.5664
S3 0.2172 0.0003 0.8833
S4 0.2172 0.4997 0.8833
S5 0.2828 0.9997 0.3833
S6 0.2828 0.5003 0.3833
S7 0.4126 0.2500 0.0664
S8 0.4209 0.2500 0.7230
S9 0.5791 0.7500 0.2770
S10 0.5874 0.7500 0.9336
S11 0.7172 0.0003 0.6167
S12 0.7172 0.4997 0.6167
S13 0.7828 0.9997 0.1167
S14 0.7828 0.5003 0.1167
S15 0.9126 0.2500 0.4336
S16 0.9209 0.2500 0.7770

- E_form (uncorrected) (kJ per mole of atoms) = -135.2
- SG = No. 62



Ba2ReP: PBEsol geometry, SCAN.

a b c (Å): 6.3177 6.3177 6.3177
angles (deg): 143.74 130.87 62.57
Atoms (fractional coordinates):
Ba1 0.0000 0.0000 0.0000
Ba2 0.6999 0.1999 0.5000
Re1 0.3920 0.3920 0.0000
P1 0.2883 0.7883 0.5000

- ΔH_f (0 K) (meV per atom) = -3
- SG = No. 44



BaRe3P: PBEsol geometry, SCAN.

a b c (Å): 4.5735 4.5735 4.5735
angles (deg): 90.00 90.00 90.00
Atoms (fractional coordinates):
Ba1 0.0000 0.0000 0.0000
Re1 0.0000 0.5000 0.5000
Re2 0.5000 0.0000 0.5000
Re3 0.5000 0.5000 0.0000
P1 0.5000 0.5000 0.5000

- ΔH_f (0 K) (meV per atom) = 1119
- SG = No. 221



BaRePS2: PBEsol geometry, SCAN.

a b c (Å): 5.4911 5.4911 5.6367
angles (deg): 90.00 90.00 90.00
Atoms (fractional coordinates):
Ba1 0.0000 0.0000 0.0000
Re1 0.5000 0.5000 0.5000
P1 0.0000 0.0000 0.5000
S1 0.0000 0.5000 0.0000
S2 0.5000 0.0000 0.0000

- E_form (uncorrected) (kJ per mole of atoms) = 181.9
- SG = No. 123



BaPRh2: PBEsol geometry, SCAN.

a b c (Å): 3.9867 3.9867 5.4176
angles (deg): 90.00 90.00 90.00
Atoms (fractional coordinates):
Ba1 0.0000 0.0000 0.0000
P1 0.5000 0.5000 0.3265
Rh1 0.0000 0.5000 0.5175
Rh2 0.5000 0.0000 0.5175

- ΔH_f (0 K) (meV per atom) = -729
- SG = No. 99



BaPRh2: PBEsol geometry, SCAN.

a b c (Å): 5.4234 5.4234 5.4234
angles (deg): 136.94 136.94 62.54
Atoms (fractional coordinates):
Ba1 0.0000 0.0000 0.0000
P1 0.7500 0.2500 0.5000
Rh1 0.2500 0.7500 0.5000
Rh2 0.5000 0.5000 0.0000

- ΔH_f (0 K) (meV per atom) = 364
- SG = No. 119



BaPRh2: PBEsol geometry, SCAN.

a b c (Å): 4.1007 4.1007 6.1942
angles (deg): 105.96 105.96 57.98
Atoms (fractional coordinates):
Ba1 0.0000 0.0000 0.0000
P1 0.7744 0.7744 0.4544
Rh1 0.1473 0.1473 0.5722
Rh2 0.4252 0.4252 0.3817

- ΔH_f (0 K) (meV per atom) = -629
- SG = No. 8



Ba2PRh: PBEsol geometry, SCAN.

a b c (Å): 5.1533 5.1533 5.1533
angles (deg): 60.00 60.00 60.00
Atoms (fractional coordinates):
Ba1 0.0000 0.0000 0.0000
Ba2 0.2500 0.2500 0.2500
P1 0.7500 0.7500 0.7500
Rh1 0.5000 0.5000 0.5000

- ΔH_f (0 K) (meV per atom) = -145
- SG = No. 216



Ba2PRh: PBEsol geometry, SCAN.

a b c (Å): 4.4286 5.7742 5.7742
angles (deg): 49.20 90.00 90.00
Atoms (fractional coordinates):
Ba1 0.0000 0.0000 0.0000
Ba2 0.5000 0.2980 0.2980
P1 0.0000 0.6900 0.6900
Rh1 0.5000 0.6122 0.6122

- ΔH_f (0 K) (meV per atom) = -795
- SG = No. 38



Ba2P2Rh: PBEsol geometry, SCAN.

a b c (Å): 5.5663 5.5663 5.5663
angles (deg): 111.04 111.04 106.37
Atoms (fractional coordinates):
Ba1 0.2500 0.7500 0.5000
Ba2 0.7500 0.2500 0.5000
P1 0.1648 0.1648 0.0000
P2 0.8352 0.8352 0.0000
Rh1 0.5000 0.5000 0.0000

- ΔH_f (0 K) (meV per atom) = -514
- SG = No. 139



BaPRhS2: PBEsol geometry, SCAN.

a b c (Å): 5.4969 5.4969 5.5283
angles (deg): 90.00 90.00 90.00
Atoms (fractional coordinates):
Ba1 0.0000 0.0000 0.0000
P1 0.0000 0.0000 0.5000
Rh1 0.5000 0.5000 0.5000
S1 0.0000 0.5000 0.0000
S2 0.5000 0.0000 0.0000

- E_form (uncorrected) (kJ per mole of atoms) = 138.0
- SG = No. 123



BaPRuS2: PBEsol geometry, SCAN.

a b c (Å): 5.4640 5.4640 5.5063
angles (deg): 90.00 90.00 90.00
Atoms (fractional coordinates):
Ba1 0.0000 0.0000 0.0000
P1 0.0000 0.0000 0.5000
Ru1 0.5000 0.5000 0.5000
S1 0.0000 0.5000 0.0000
S2 0.5000 0.0000 0.0000

- E_form (uncorrected) (kJ per mole of atoms) = 149.2
- SG = No. 123



BaPS3: PBEsol geometry, SCAN.

a b c (Å): 4.7036 4.7036 4.7036
angles (deg): 90.00 90.00 90.00
Atoms (fractional coordinates):
Ba1 0.0000 0.0000 0.0000
P1 0.5000 0.5000 0.5000
S1 0.0000 0.5000 0.5000
S2 0.5000 0.0000 0.5000
S3 0.5000 0.5000 0.0000

- E_form (uncorrected) (kJ per mole of atoms) = -81.5
- SG = No. 221



BaSbPS2: PBEsol geometry, SCAN.

a b c (Å): 5.4573 5.4573 5.5300
angles (deg): 90.00 90.00 90.00
Atoms (fractional coordinates):
Ba1 0.0000 0.0000 0.0000
Sb1 0.5000 0.5000 0.5000
P1 0.0000 0.0000 0.5000
S1 0.0000 0.5000 0.0000
S2 0.5000 0.0000 0.0000

- E_form (uncorrected) (kJ per mole of atoms) = 93.3
- SG = No. 123



BaSiPS2: PBEsol geometry, SCAN.

a b c (Å): 4.7908 4.7908 4.5622
angles (deg): 90.00 90.00 90.00
Atoms (fractional coordinates):
Ba1 0.0000 0.0000 0.0000
Si1 0.5000 0.5000 0.5000
P1 0.5000 0.5000 0.0000
S1 0.0000 0.5000 0.5000
S2 0.5000 0.0000 0.5000

- E_form (uncorrected) (kJ per mole of atoms) = -67.1
- SG = No. 123
- relative energy among the computed polymorphs (eV per atom) = 0.000



BaSiPS2: PBEsol geometry, SCAN.

a b c (Å): 5.5032 5.5032 5.5271
angles (deg): 90.00 90.00 90.00
Atoms (fractional coordinates):
Ba1 0.0000 0.0000 0.0000
Si1 0.5000 0.5000 0.5000
P1 0.0000 0.0000 0.5000
S1 0.0000 0.5000 0.0000
S2 0.5000 0.0000 0.0000

- E_form (uncorrected) (kJ per mole of atoms) = 122.2
- SG = No. 123
- relative energy among the computed polymorphs (eV per atom) = 1.962



BaTaPS2: PBEsol geometry, SCAN.

a b c (Å): 4.8268 4.8268 4.8689
angles (deg): 90.00 90.00 90.00
Atoms (fractional coordinates):
Ba1 0.0000 0.0000 0.0000
Ta1 0.5000 0.5000 0.5000
P1 0.5000 0.5000 0.0000
S1 0.0000 0.5000 0.5000
S2 0.5000 0.0000 0.5000

- E_form (uncorrected) (kJ per mole of atoms) = -121.3
- SG = No. 123
- relative energy among the computed polymorphs (eV per atom) = 0.000



| no. | calculated total energy (eV per cell) |
| --- | --- |
| 1 | -129.285 |
| 2 | -292.841 |
| 3 | -152.222 |
| 4 | -476.042 |
| 5 | -160.608 |
| 6 | -257.647 |
| 7 | -130.879 |
| 8 | -120.406 |
| 9 | -116.037 |
| 10 | -120.007 |
| 11 | -123.851 |
| 12 | -126.452 |
| 13 | -136.238 |
| 14 | -95.825 |
| 15 | -96.299 |
| 16 | -83.058 |
| 17 | -101.630 |
| 18 | -82.700 |
| 19 | -72.890 |
| 20 | -142.075 |